Record 1
# YAlSi2Ag PBE relaxed
data_YAlSi2Ag
_chemical_formula_sum 'Y1 Al1 Si2 Ag1'
_symmetry_space_group_name_H-M 'P 4/m m m'
_symmetry_Int_Tables_number 123
_symmetry_space_group_name_Hall '-P 4 2'
_cell_length_a 4.922
_cell_length_b 4.922
_cell_length_c 4.744
_cell_angle_alpha 90.00
_cell_angle_beta 90.00
_cell_angle_gamma 90.00
loop_
_atom_site_label
_atom_site_type_symbol
_atom_site_fract_x
_atom_site_fract_y
_atom_site_fract_z
Y1 Y 0.000 0.000 0.000
Al1 Al 0.500 0.500 0.000
Si1 Si 0.000 0.500 0.500
Ag1 Ag 0.500 0.500 0.500
# E_form (uncorrected) ... 0.490 eV per atom

---

Record 2
# K2InRh PBE relaxed
data_K2InRh
_chemical_formula_sum 'K4 In2 Rh2'
_symmetry_space_group_name_H-M 'C 1 2/m 1'
_symmetry_Int_Tables_number 12
_cell_length_a 5.707
_cell_length_b 10.658
_cell_length_c 3.676
_cell_angle_alpha 90.00
_cell_angle_beta 91.34
_cell_angle_gamma 90.00
loop_
_symmetry_equiv_pos_as_xyz
'x,y,z'
'-x,-y,-z'
'-x,y,-z'
'x,-y,z'
'x+1/2,y+1/2,z'
'-x+1/2,-y+1/2,-z'
'-x+1/2,y+1/2,-z'
'x+1/2,-y+1/2,z'
loop_
_atom_site_label
_atom_site_type_symbol
_atom_site_fract_x
_atom_site_fract_y
_atom_site_fract_z
K1 K 0.250 0.250 0.000
In1 In 0.000 0.000 0.500
Rh1 Rh 0.000 0.500 0.500
# ΔH_f (0 K) ... 0.44 eV/atom

---

Record 3
# VWCl2 PBE relaxed
data_VWCl2
_chemical_formula_sum 'V4 W4 Cl8'
_symmetry_space_group_name_H-M 'I -4 2 d'
_symmetry_Int_Tables_number 122
_symmetry_space_group_name_Hall 'I -4 2bw'
_cell_length_a 4.082
_cell_length_b 4.082
_cell_length_c 15.773
_cell_angle_alpha 90.00
_cell_angle_beta 90.00
_cell_angle_gamma 90.00
loop_
_atom_site_label
_atom_site_type_symbol
_atom_site_fract_x
_atom_site_fract_y
_atom_site_fract_z
V1 V 0.000 0.000 0.000
W1 W 0.000 0.000 0.500
Cl1 Cl 0.248 0.250 0.125
# E_form (uncorrected) ... 0.479 eV per atom
# Energy relative to the lowest polymorph listed for this composition ... 0.329 eV/atom

---

Record 4
# Sm2Zn15Co2 PBE relaxed
data_Sm2Zn15Co2
_chemical_formula_sum 'Sm6 Zn45 Co6'
_symmetry_space_group_name_H-M 'R -3 m'
_symmetry_Int_Tables_number 166
_symmetry_space_group_name_Hall '-R 3 2"'
_cell_length_a 8.9237
_cell_length_b 8.9237
_cell_length_c 13.1086
_cell_angle_alpha 90.00
_cell_angle_beta 90.00
_cell_angle_gamma 120.00
loop_
_atom_site_label
_atom_site_type_symbol
_atom_site_fract_x
_atom_site_fract_y
_atom_site_fract_z
Sm1 Sm 0.0000 0.0000 0.1657
Zn1 Zn 0.0000 0.2837 0.5000
Zn2 Zn 0.0000 0.5000 0.0000
Zn3 Zn 0.0006 0.5003 0.3489
Co1 Co 0.0000 0.0000 0.4079
# ΔH_f (0 K) ... -0.19 eV/atom

---

Record 5
# SnBiB2I PBE relaxed
data_SnBiB2I
_chemical_formula_sum 'Sn1 Bi1 B2 I1'
_symmetry_space_group_name_H-M 'P 4/m m m'
_symmetry_Int_Tables_number 123
_symmetry_space_group_name_Hall '-P 4 2'
_cell_length_a 4.795
_cell_length_b 4.795
_cell_length_c 6.593
_cell_angle_alpha 90.00
_cell_angle_beta 90.00
_cell_angle_gamma 90.00
loop_
_atom_site_label
_atom_site_type_symbol
_atom_site_fract_x
_atom_site_fract_y
_atom_site_fract_z
Sn1 Sn 0.000 0.000 0.000
Bi1 Bi 0.000 0.000 0.500
B1 B 0.000 0.500 0.500
I1 I 0.500 0.500 0.000
# E_form (uncorrected) ... 1.613 eV per atom

---

Record 6
# PuSi2Tc PBE relaxed
data_PuSi2Tc
_chemical_formula_sum 'Pu1 Si2 Tc1'
_symmetry_space_group_name_H-M 'P 4/m m m'
_symmetry_Int_Tables_number 123
_symmetry_space_group_name_Hall '-P 4 2'
_cell_length_a 3.084
_cell_length_b 3.084
_cell_length_c 6.894
_cell_angle_alpha 90.00
_cell_angle_beta 90.00
_cell_angle_gamma 90.00
loop_
_atom_site_label
_atom_site_type_symbol
_atom_site_fract_x
_atom_site_fract_y
_atom_site_fract_z
Pu1 Pu 0.000 0.000 0.000
Si1 Si 0.500 0.500 0.306
Tc1 Tc 0.000 0.000 0.500
# E_form (uncorrected) ... -0.448 eV per atom
# Energy relative to the lowest polymorph listed for this composition ... 0.048 eV/atom